[1]
The following is a DFT calculation (PBE-GGA) of CrSi2W after structural relaxation.

Computed properties:
M_tot	0.00	μB per cell
formation energy from raw total energies	0.2	eV/f.u.
E above lowest polymorph	320	meV per atom
space-group type	No. 71

POSCAR file:
```
CrSi2W
1.0
4.7155 0.0104 0.0172
1.5942 4.4379 -0.0172
-2.6439 -2.9488 2.5594
Cr Si W
1 2 1
direct
0.2500 0.7500 0.5000
0.0099 0.0099 0.0000
0.4901 0.4901 0.0000
0.7500 0.2500 0.5000
```

***

[2]
The following is a DFT calculation (PBE-GGA) of Rb3CeMg2S6 after structural relaxation.

Computed properties:
M_tot	0.02	μB per cell
formation energy from raw total energies	-15.4	eV/f.u.
space-group type	No. 12

POSCAR file:
```
Rb3CeMg2S6
1.0
6.8938 -0.0016 0.0005
-3.4466 5.9704 0.0005
-1.1495 -1.9904 7.6614
Rb Mg S Ce
3 2 6 1
direct
0.8326 0.1674 0.5000
0.1674 0.8326 0.5000
0.5000 0.5000 0.5000
0.6666 0.3334 0.0000
0.3334 0.6666 0.0000
0.9377 0.5980 0.8134
0.0623 0.4020 0.1866
0.4020 0.0623 0.1866
0.2774 0.2774 0.8131
0.5980 0.9377 0.8134
0.7226 0.7226 0.1869
0.0000 0.0000 0.0000
```

***

[3]
The following is a DFT calculation (PBE-GGA) of Ca2FeBrCl after structural relaxation.

Computed properties:
M_tot	0.44	μB per cell
formation energy from raw total energies	-1.1	eV/f.u.
space-group type	No. 123

POSCAR file:
```
Ca2FeBrCl
1.0
-2.8713 4.9542 -0.3933
-0.1258 -0.4087 -4.2297
-4.9669 -2.8451 0.4226
Fe Ca Cl Br
1 2 1 1
direct
0.0000 0.5000 0.0000
0.5000 0.0000 0.0000
0.0000 0.0000 0.5000
0.5000 0.5000 0.5000
0.0000 0.0000 0.0000
```